Li2OsPd2 (PBE, relaxed); uncorrected energy = -50.87 eV for the cell shown; space-group type = P4/mbm (127); formation energy = 0.00 eV/atom; spin magnetization = 0.00 μB per formula unit
1.0
6.932 0.000 0.000
0.000 6.932 0.000
0.000 0.000 2.708
Li Os Pd
4 2 4
Cartesian
0.790 2.676 0.000 Li
2.676 6.142 0.000 Li
4.255 0.790 0.000 Li
6.142 4.255 0.000 Li
0.000 0.000 0.000 Os
3.466 3.466 0.000 Os
1.311 4.777 1.354 Pd
2.155 1.311 1.354 Pd
4.777 5.620 1.354 Pd
5.620 2.155 1.354 Pd

Li2OsPd2 (PBE, relaxed); uncorrected energy = -49.62 eV for the cell shown; space-group type = P4/mbm (127); formation energy = 0.13 eV/atom; spin magnetization = 0.00 μB per formula unit
1.0
7.144 0.000 0.000
0.000 7.144 0.000
0.000 0.000 2.665
Li Os Pd
4 2 4
Cartesian
1.135 2.437 0.000 Li
2.437 6.009 0.000 Li
4.707 1.135 0.000 Li
6.009 4.707 0.000 Li
0.000 0.000 1.333 Os
3.572 3.572 1.333 Os
1.014 4.586 1.333 Pd
2.558 1.014 1.333 Pd
4.586 6.130 1.333 Pd
6.130 2.558 1.333 Pd

LiOs2PdRh (PBE, relaxed); uncorrected energy = -31.02 eV for the cell shown; space-group type = P4/mmm (123); formation energy = 1.18 eV/atom; spin magnetization = 0.00 μB per formula unit
1.0
4.126 0.000 0.000
0.000 4.126 0.000
0.000 0.000 4.065
Li Os Pd Rh
1 2 1 1
Cartesian
0.000 0.000 0.000 Li
0.000 2.063 0.000 Os
2.063 0.000 0.000 Os
2.063 2.063 2.033 Pd
0.000 0.000 2.033 Rh